[1]
DFT (PBE-GGA) results for crystalline In2NiAgP at its relaxed geometry.

Energy of formation, meV/atom: 990
Mass density, g/cm3: 5.3
Volume, Å³/f.u.: 134
DFT total energy, eV/atom: -2.9142
Space group: P4/mmm, No. 123

Lattice parameters (Å, degrees): 5.353 4.664 5.353 90.00 90.00 90.00
Fractional positions:
In: 0.500 0.000 0.000
In: 0.000 0.000 0.500
Ag: 0.000 0.000 0.000
P: 0.000 0.500 0.000
Ni: 0.500 0.500 0.500

=====

[2]
DFT (PBE-GGA) results for crystalline BaTl2TePd at its relaxed geometry.

Formation energy without anion corrections, eV per atom: -0.6022
Mass density, g/cm3: 7.5
Volume, Å³/f.u.: 173
DFT total energy, eV/atom: -3.6002
Space group: P4/mmm, No. 123

Lattice parameters (Å, degrees): 5.310 5.310 6.125 90.00 90.00 90.00
Fractional positions:
Tl: 0.500 0.000 0.000
Tl: 0.000 0.500 0.000
Ba: 0.000 0.000 0.500
Pd: 0.000 0.000 0.000
Te: 0.500 0.500 0.500

=====

[3]
DFT (PBE-GGA) results for crystalline ZrGe3F at its relaxed geometry.

ΔE to the lowest computed polymorph, eV per formula unit: 2.97
Formation energy without anion corrections, eV per atom: 0.2939
Mass density, g/cm3: 3.8
Volume, Å³/f.u.: 142
DFT total energy, eV/atom: -4.5604
Space group: Pm-3m, No. 221

Lattice parameters (Å, degrees): 5.221 5.221 5.221 90.00 90.00 90.00
Fractional positions:
Ge: 0.000 0.500 0.000
F: 0.500 0.500 0.500
Ge: 0.000 0.000 0.500
Ge: 0.500 0.000 0.000
Zr: 0.000 0.000 0.000

=====

[4]
DFT (PBE-GGA) results for crystalline Nb2ZnCr at its relaxed geometry.

Energy of formation, meV/atom: 549
Mass density, g/cm3: 7.5
Volume, Å³/f.u.: 67
DFT total energy, eV/atom: -7.2102
Space group: I-42d, No. 122

Lattice parameters (Å, degrees): 7.042 7.042 5.664 51.56 51.56 90.00
Fractional positions:
Cr: 0.250 0.750 0.500
Zn: 0.000 0.000 0.000
Cr: 0.500 0.500 0.000
Nb: 0.375 0.400 0.750
Nb: 0.875 0.850 0.750
Nb: 0.150 0.625 0.250
Zn: 0.750 0.250 0.500
Nb: 0.600 0.125 0.250

=====

[5]
DFT (PBE-GGA) results for crystalline TlCoRe at its relaxed geometry.

ΔE to the lowest computed polymorph, eV per formula unit: 0.35
Energy of formation, meV/atom: 713
Mass density, g/cm3: 15.2
Volume, Å³/f.u.: 49
DFT total energy, eV/atom: -6.5941
Space group: P3m1, No. 156

Lattice parameters (Å, degrees): 2.897 2.897 6.756 90.00 90.00 120.00
Each line ends with the local moment (μB).
Fractional positions:
Re: 0.667 0.333 0.298  -0.01
Co: 0.000 0.000 0.023  0.93
Tl: 0.333 0.667 0.679  0.00

=====

[6]
DFT (PBE-GGA) results for crystalline CdInTcSn2 at its relaxed geometry.

Energy of formation, meV/atom: 149
Mass density, g/cm3: 6.5
Volume, Å³/f.u.: 143
DFT total energy, eV/atom: -4.2559
Space group: P4/mmm, No. 123

Lattice parameters (Å, degrees): 5.183 5.183 5.316 90.00 90.00 90.00
Fractional positions:
In: 0.000 0.000 0.500
Tc: 0.000 0.000 0.000
Sn: 0.500 0.000 0.000
Cd: 0.500 0.500 0.500
Sn: 0.000 0.500 0.000

=====

[7]
DFT (PBE-GGA) results for crystalline Rb2H6Pt at its relaxed geometry.

ΔE to the lowest computed polymorph, eV per formula unit: 0.00
Mass density, g/cm3: 4.1
Volume, Å³/f.u.: 151
DFT total energy, eV/atom: -3.5303
Space group: Fm-3m, No. 225

Lattice parameters (Å, degrees): 5.971 5.971 5.971 60.00 60.00 60.00
Fractional positions:
H: 0.196 0.804 0.196
H: 0.196 0.196 0.804
Rb: 0.250 0.250 0.250
H: 0.804 0.804 0.196
H: 0.804 0.196 0.196
Pt: 0.000 0.000 0.000
Rb: 0.750 0.750 0.750
H: 0.196 0.804 0.804
H: 0.804 0.196 0.804

=====

[8]
DFT (PBE-GGA) results for crystalline Hf3MgNb at its relaxed geometry.

ΔE to the lowest computed polymorph, eV per formula unit: 2.84
Energy of formation, meV/atom: 1495
Mass density, g/cm3: 9.0
Volume, Å³/f.u.: 120
DFT total energy, eV/atom: -6.8097
Space group: Pm-3m, No. 221

Lattice parameters (Å, degrees): 4.937 4.937 4.937 90.00 90.00 90.00
Each line ends with the local moment (μB).
Fractional positions:
Hf: 0.000 0.000 0.500  0.07
Nb: 0.500 0.500 0.500  0.49
Mg: 0.000 0.000 0.000  0.03
Hf: 0.500 0.000 0.000  0.15
Hf: 0.000 0.500 0.000  0.10